This record from Alexandria via LeMat-Bulk describes a relaxed structure of CeNdTm2N4. The functional is PBE-GGA.

Cell: 6.064 3.505 6.069 Å, 90.00 109.26 90.00°
Atoms (fractional coordinates):
1 Ce 0.000 0.000 0.000
2 Nd 0.500 0.500 0.000
3 Tm 0.000 0.500 0.500
4 Tm 0.500 0.000 0.500
5 N 0.238 0.000 0.739
6 N 0.248 0.500 0.260
7 N 0.752 0.500 0.740
8 N 0.762 0.000 0.261

Output
- crystal system = monoclinic
- raw formation energy (meV/atom) = -1600

This record from Alexandria via LeMat-Bulk describes a relaxed structure of Hf6ZrSc2. The functional is PBE-GGA.

Cell: 7.865 7.865 10.664 Å, 127.67 127.67 23.50°
Atoms (fractional coordinates):
1 Hf 0.033 0.033 0.235
2 Hf 0.331 0.331 0.162
3 Hf 0.371 0.371 0.910
4 Hf 0.629 0.629 0.090
5 Hf 0.669 0.669 0.838
6 Hf 0.967 0.967 0.765
7 Zr 0.000 0.000 0.500
8 Sc 0.295 0.295 0.422
9 Sc 0.705 0.705 0.578

Output
- crystal system = monoclinic
- ΔE_f (eV/atom) = 0.018

This record from Alexandria via LeMat-Bulk describes a relaxed structure of MnOs2N. The functional is PBE-GGA.

Cell: 5.867 5.867 5.867 Å, 129.62 129.62 74.02°
Atoms (fractional coordinates):
1 Mn 0.000 0.000 0.000
2 Mn 0.750 0.250 0.500
3 Os 0.178 0.625 0.053
4 Os 0.375 0.428 0.553
5 Os 0.572 0.125 0.947
6 Os 0.875 0.822 0.447
7 N 0.250 0.750 0.500
8 N 0.500 0.500 0.000

Output
- crystal system = tetragonal
- raw formation energy (meV/atom) = 768

This record from Alexandria via LeMat-Bulk describes a relaxed structure of Al2TeSN. The functional is PBE-GGA.

Cell: 4.490 4.490 4.075 Å, 90.00 90.00 90.00°
Atoms (fractional coordinates):
1 Al 0.000 0.500 0.000
2 Al 0.500 0.000 0.000
3 Te 0.000 0.000 0.500
4 S 0.500 0.500 0.500
5 N 0.500 0.500 0.000

Output
- crystal system = tetragonal
- raw formation energy (meV/atom) = 380

This record from Alexandria via LeMat-Bulk describes a relaxed structure of TiBe. The functional is PBE-GGA.

Cell: 6.051 6.051 6.051 Å, 109.47 109.47 109.47°
Atoms (fractional coordinates):
1 Ti 0.000 0.000 0.413
2 Ti 0.000 0.413 0.000
3 Ti 0.413 0.000 0.000
4 Ti 0.587 0.587 0.587
5 Be 0.000 0.000 0.794
6 Be 0.000 0.794 0.000
7 Be 0.206 0.206 0.206
8 Be 0.794 0.000 0.000

Output
- crystal system = cubic
- ΔE_f (eV/atom) = 1.250

This record from Alexandria via LeMat-Bulk describes a relaxed structure of BeAsS2. The functional is PBE-GGA.

Cell: 7.410 7.410 7.410 Å, 25.76 25.76 25.76°
Atoms (fractional coordinates):
1 Be 0.000 0.000 0.000
2 As 0.500 0.500 0.500
3 S 0.388 0.388 0.388
4 S 0.612 0.612 0.612

Output
- crystal system = trigonal
- raw formation energy (meV/atom) = -70